A plane-wave DFT calculation with GGA-PBEsol was carried out for a geometry-optimized AgHg2Cl structure.

```
data_AgHg2Cl
_chemical_formula_sum 'Ag4 Hg8 Cl4'
_symmetry_space_group_name_H-M 'F m -3 m'
_symmetry_Int_Tables_number 225
_symmetry_space_group_name_Hall '-F 4 2 3'
_cell_length_a 7.072
_cell_length_b 7.072
_cell_length_c 7.072
_cell_angle_alpha 90.00
_cell_angle_beta 90.00
_cell_angle_gamma 90.00
loop_
_atom_site_label
_atom_site_type_symbol
_atom_site_fract_x
_atom_site_fract_y
_atom_site_fract_z
Ag1 Ag 0.000 0.000 0.000
Hg1 Hg 0.250 0.250 0.250
Cl1 Cl 0.000 0.000 0.500
```

Results
Mass density   10.2 Mg/m³
VASP energy   -5.9 eV per formula unit
Raw formation energy   0.14 eV per atom